Entry 1:
Entry from Alexandria: crystalline Ag3Mo at its relaxed geometry (PBE).

Unit cell a=9.684 b=2.748 c=5.237 alpha=90.00 beta=97.08 gamma=90.00
Space group C2/m (No. 12)
One atom of each set of equivalent atoms:
Ag 0.000 0.000 0.000
Ag 0.248 0.000 0.746
Mo 0.000 0.500 0.500

Calculated values
Size of the total moment ... 1.1 μB per formula unit
E_tot ... -34.76 eV per cell
Energy relative to the elements ... 0.501 eV/atom
Excess energy over the best structure of this formula in the dataset ... 4.684 kcal/mol of atoms

---

Entry 2:
Entry from Alexandria: crystalline SrCo2Cl at its relaxed geometry (PBE).

Unit cell a=3.808 b=3.808 c=11.975 alpha=90.00 beta=90.00 gamma=90.00
Space group I4/mmm (No. 139)
One atom of each set of equivalent atoms:
Sr 0.000 0.000 0.000
Co 0.000 0.500 0.250
Cl 0.000 0.000 0.500

Calculated values
Size of the total moment ... 3.4 μB per formula unit
E_tot ... -34.62 eV per cell
ΔE_f (raw) ... 0.108 eV per atom
Excess energy over the best structure of this formula in the dataset ... 6.785 kcal/mol of atoms

---

Entry 3:
Entry from Alexandria: crystalline Sm3Mg5Rh2 at its relaxed geometry (PBE).

Unit cell a=12.020 b=12.968 c=6.275 alpha=90.00 beta=90.00 gamma=90.00
Space group Ibam (No. 72)
One atom of each set of equivalent atoms:
Sm 0.000 0.000 0.250
Sm 0.243 0.168 0.000
Mg 0.000 0.269 0.250
Mg 0.000 0.500 0.250
Mg 0.183 0.423 0.000
Rh 0.125 0.152 0.500

Calculated values
Size of the total moment ... 0.0 μB per formula unit
E_tot ... -157.67 eV per cell
Energy relative to the elements ... -0.258 eV/atom

---

Entry 4:
Entry from Alexandria: crystalline AlRuBr2 at its relaxed geometry (PBE).

Unit cell a=15.505 b=3.349 c=3.872 alpha=90.00 beta=104.11 gamma=90.00
Space group C2/m (No. 12)
One atom of each set of equivalent atoms:
Al 0.000 0.000 0.000
Ru 0.000 0.500 0.500
Br 0.139 0.000 0.635

Calculated values
Size of the total moment ... 0.5 μB per formula unit
E_tot ... -33.51 eV per cell
ΔE_f (raw) ... -0.098 eV per atom
Excess energy over the best structure of this formula in the dataset ... 2.528 kcal/mol of atoms

---

Entry 5:
Entry from Alexandria: crystalline YTmZnIr at its relaxed geometry (PBE).

Unit cell a=6.929 b=6.929 c=6.929 alpha=90.00 beta=90.00 gamma=90.00
Space group F-43m (No. 216)
One atom of each set of equivalent atoms:
Y 0.000 0.000 0.000
Tm 0.000 0.000 0.500
Zn 0.250 0.250 0.750
Ir 0.250 0.250 0.250

Calculated values
Size of the total moment ... 0.0 μB per formula unit
E_tot ... -94.71 eV per cell
Energy relative to the elements ... -0.652 eV/atom

---

Entry 6:
Entry from Alexandria: crystalline NaLaPm at its relaxed geometry (PBE).

Unit cell a=5.186 b=19.940 c=4.500 alpha=90.00 beta=90.00 gamma=90.00
Space group Cmcm (No. 63)
One atom of each set of equivalent atoms:
Na 0.000 0.226 0.250
La 0.000 0.051 0.250
Pm 0.000 0.420 0.250

Calculated values
Size of the total moment ... 0.0 μB per formula unit
E_tot ... -40.77 eV per cell
Energy relative to the elements ... 0.268 eV/atom
Excess energy over the best structure of this formula in the dataset ... 4.301 kcal/mol of atoms

---

Entry 7:
Entry from Alexandria: crystalline Rb2TeSI6 at its relaxed geometry (PBE).

Unit cell a=8.527 b=8.527 c=11.695 alpha=90.00 beta=90.00 gamma=90.00
Space group I4/mmm (No. 139)
One atom of each set of equivalent atoms:
Rb 0.000 0.500 0.250
Te 0.000 0.000 0.000
S 0.000 0.000 0.500
I 0.000 0.000 0.260
I 0.247 0.247 0.500

Calculated values
Size of the total moment ... 0.0 μB per formula unit
E_tot ... -48.21 eV per cell
ΔE_f (raw) ... -0.560 eV per atom

---

Entry 8:
Entry from Alexandria: crystalline NaTlF2 at its relaxed geometry (PBE).

Unit cell a=4.1100 b=4.1100 c=21.5528 alpha=90.00 beta=90.00 gamma=120.00
Space group R-3m (No. 166, hexagonal axes)
One atom of each set of equivalent atoms:
Na 0.0000 0.0000 0.0000
Tl 0.0000 0.0000 0.5000
F 0.0000 0.0000 0.0954

Calculated values
Size of the total moment ... 0.0 μB per formula unit
E_tot ... -45.69 eV per cell
ΔE_f (raw) ... -1.951 eV per atom
Excess energy over the best structure of this formula in the dataset ... 5.585 kcal/mol of atoms

---

Entry 9:
Entry from Alexandria: crystalline AlZnCl2 at its relaxed geometry (PBE).

Unit cell a=12.060 b=3.282 c=7.178 alpha=90.00 beta=126.48 gamma=90.00
Space group Cm (No. 8)
One atom of each set of equivalent atoms:
Al 0.000 0.000 0.000
Zn 0.213 0.500 0.217
Cl 0.403 0.000 0.123
Cl 0.406 0.000 0.682

Calculated values
Size of the total moment ... 0.0 μB per formula unit
E_tot ... -21.96 eV per cell
ΔE_f (raw) ... -0.568 eV per atom
Excess energy over the best structure of this formula in the dataset ... 2.811 kcal/mol of atoms

---

Entry 10:
Entry from Alexandria: crystalline SrGe3Bi at its relaxed geometry (PBE).

Unit cell a=5.560 b=5.560 c=5.560 alpha=90.00 beta=90.00 gamma=90.00
Space group Pm-3m (No. 221)
One atom of each set of equivalent atoms:
Sr 0.000 0.000 0.000
Ge 0.000 0.000 0.500
Bi 0.500 0.500 0.500

Calculated values
Size of the total moment ... 0.0 μB per formula unit
E_tot ... -13.96 eV per cell
Energy relative to the elements ... 1.091 eV/atom
Excess energy over the best structure of this formula in the dataset ... 13.703 kcal/mol of atoms

---

Entry 11:
Entry from Alexandria: crystalline TlHgSeS2 at its relaxed geometry (PBE).

Unit cell a=4.923 b=4.923 c=6.594 alpha=90.00 beta=90.00 gamma=90.00
Space group P4/mmm (No. 123)
One atom of each set of equivalent atoms:
Tl 0.000 0.000 0.000
Hg 0.000 0.000 0.500
Se 0.500 0.500 0.000
S 0.000 0.500 0.500

Calculated values
Size of the total moment ... 2.5 μB per formula unit
E_tot ... -11.23 eV per cell
ΔE_f (raw) ... 0.635 eV per atom

---

Entry 12:
Entry from Alexandria: crystalline YZr2Ag2 at its relaxed geometry (PBE).

Unit cell a=4.099 b=4.099 c=14.058 alpha=90.00 beta=90.00 gamma=90.00
Space group I4/mmm (No. 139)
One atom of each set of equivalent atoms:
Y 0.000 0.000 0.000
Zr 0.000 0.500 0.250
Ag 0.000 0.000 0.403

Calculated values
Size of the total moment ... 0.0 μB per formula unit
E_tot ... -57.85 eV per cell
Energy relative to the elements ... 0.067 eV/atom
Excess energy over the best structure of this formula in the dataset ... 0.798 kcal/mol of atoms